(1)
Below is a relaxed NiCl3 crystal, with properties calculated at the PBE level.

Computed properties:
Total DFT energy (no corrections)   -3.12 eV per atom
Symmetry   R-3c (167)

a = 6.2310 Å, b = 6.2310 Å, c = 6.2310 Å
α = 55.50°, β = 55.50°, γ = 55.50°
Closest atoms and distances in Å follow each position.
Fractional positions:
Cl 0.2500 0.6007 0.8993  2 Ni 2.30
Cl 0.3993 0.1007 0.7500  2 Ni 2.30
Cl 0.1007 0.7500 0.3993  2 Ni 2.30
Cl 0.7500 0.3993 0.1007  2 Ni 2.30
Cl 0.6007 0.8993 0.2500  2 Ni 2.30
Cl 0.8993 0.2500 0.6007  2 Ni 2.30
Ni 0.0000 0.0000 0.0000  6 Cl 2.30
Ni 0.5000 0.5000 0.5000  6 Cl 2.30

***

(2)
Below is a relaxed Ni2Cl crystal, with properties calculated at the PBE level.

Computed properties:
Relative energy among the computed polymorphs   171.2 meV/atom
Symmetry   Fd-3m (227)

a = 6.7709 Å, b = 6.7709 Å, c = 6.7709 Å
α = 60.00°, β = 60.00°, γ = 60.00°
Closest atoms and distances in Å follow each position.
Fractional positions:
Cl 0.2500 0.2500 0.2500  4 Ni 2.07
Cl 0.5000 0.5000 0.5000  4 Ni 2.07
Ni 0.3750 0.3750 0.8750  2 Cl 2.07
Ni 0.3750 0.8750 0.3750  2 Cl 2.07
Ni 0.8750 0.3750 0.3750  2 Cl 2.07
Ni 0.3750 0.3750 0.3750  2 Cl 2.07

***

(3)
Below is a relaxed Ni2Cl crystal, with properties calculated at the PBE level.

Computed properties:
Relative energy among the computed polymorphs   0.0 meV/atom
Symmetry   Fd-3m (227)

a = 4.9552 Å, b = 4.9552 Å, c = 4.9552 Å
α = 60.00°, β = 60.00°, γ = 60.00°
Closest atoms and distances in Å follow each position.
Fractional positions:
Cl 0.0000 0.0000 0.0000  12 Ni 2.91, 4 Cl 3.03
Cl 0.2500 0.2500 0.2500  12 Ni 2.91, 4 Cl 3.03
Ni 0.6250 0.6250 0.6250  6 Ni 2.48
Ni 0.6250 0.6250 0.1250  6 Ni 2.48
Ni 0.6250 0.1250 0.6250  6 Ni 2.48
Ni 0.1250 0.6250 0.6250  6 Ni 2.48

***

Copy entry 1 word for word.
Below is a relaxed NiCl3 crystal, with properties calculated at the PBE level.

Computed properties:
Total DFT energy (no corrections)   -3.12 eV per atom
Symmetry   R-3c (167)

a = 6.2310 Å, b = 6.2310 Å, c = 6.2310 Å
α = 55.50°, β = 55.50°, γ = 55.50°
Closest atoms and distances in Å follow each position.
Fractional positions:
Cl 0.2500 0.6007 0.8993  2 Ni 2.30
Cl 0.3993 0.1007 0.7500  2 Ni 2.30
Cl 0.1007 0.7500 0.3993  2 Ni 2.30
Cl 0.7500 0.3993 0.1007  2 Ni 2.30
Cl 0.6007 0.8993 0.2500  2 Ni 2.30
Cl 0.8993 0.2500 0.6007  2 Ni 2.30
Ni 0.0000 0.0000 0.0000  6 Cl 2.30
Ni 0.5000 0.5000 0.5000  6 Cl 2.30